(1)
# BaLa2CoBi (PBE, optimized geometry)
data_BaLa2CoBi
_space_group_name_H-M_alt 'P 4/m m m'
_space_group_IT_number 123
_space_group_name_Hall '-P 4 2'
_cell_length_a 5.291
_cell_length_b 5.291
_cell_length_c 5.875
_cell_angle_alpha 90.00
_cell_angle_beta 90.00
_cell_angle_gamma 90.00
loop_
_atom_site_label
_atom_site_fract_x
_atom_site_fract_y
_atom_site_fract_z
Ba1 0.000 0.000 0.000
La1 0.000 0.500 0.500
Co1 0.000 0.000 0.500
Bi1 0.500 0.500 0.000
# formation energy = -360 meV/atom
# calculated total energy = -4.913 eV per atom
# density = 6.9 g cm⁻³
# size of the total moment = 0.000 μB per atom

(2)
# Ba2LiCoBi (PBE, optimized geometry)
data_Ba2LiCoBi
_space_group_name_H-M_alt 'P 4/m m m'
_space_group_IT_number 123
_space_group_name_Hall '-P 4 2'
_cell_length_a 6.766
_cell_length_b 6.766
_cell_length_c 5.117
_cell_angle_alpha 90.00
_cell_angle_beta 90.00
_cell_angle_gamma 90.00
loop_
_atom_site_label
_atom_site_fract_x
_atom_site_fract_y
_atom_site_fract_z
Ba1 0.000 0.500 0.000
Li1 0.000 0.000 0.500
Co1 0.500 0.500 0.500
Bi1 0.000 0.000 0.000
# formation energy = 294 meV/atom
# calculated total energy = -3.056 eV per atom
# density = 3.9 g cm⁻³
# size of the total moment = 0.257 μB per atom

(3)
# Ba2CoBiN (PBE, optimized geometry)
data_Ba2CoBiN
_space_group_name_H-M_alt 'P 4/m m m'
_space_group_IT_number 123
_space_group_name_Hall '-P 4 2'
_cell_length_a 6.181
_cell_length_b 6.181
_cell_length_c 3.569
_cell_angle_alpha 90.00
_cell_angle_beta 90.00
_cell_angle_gamma 90.00
loop_
_atom_site_label
_atom_site_fract_x
_atom_site_fract_y
_atom_site_fract_z
Ba1 0.000 0.500 0.000
Co1 0.000 0.000 0.500
Bi1 0.500 0.500 0.500
N1 0.000 0.000 0.000
# ΔE_f (raw) = -0.488 eV per atom
# calculated total energy = -5.120 eV per atom
# density = 6.8 g cm⁻³
# size of the total moment = 0.122 μB per atom

Q: Among the records above, which one has the lowest calculated total energy?
A: Ba2CoBiN